A plane-wave DFT calculation with PBE-GGA was carried out for crystalline BeHg2Se at its relaxed geometry.

Geometry as CIF:
```
data_BeHg2Se
_cell_length_a 6.346
_cell_length_b 3.663
_cell_length_c 10.567
_cell_angle_alpha 90.00
_cell_angle_beta 101.21
_cell_angle_gamma 90.00
_symmetry_space_group_name_H-M 'C 1 m 1'
_symmetry_Int_Tables_number 8
loop_
_symmetry_equiv_pos_as_xyz
'x,y,z'
'x,-y,z'
'x+1/2,y+1/2,z'
'x+1/2,-y+1/2,z'
loop_
_atom_site_label
_atom_site_type_symbol
_atom_site_fract_x
_atom_site_fract_y
_atom_site_fract_z
_atom_site_occupancy
Be1 Be 0.000 0.000 0.000 1
Hg1 Hg 0.219 0.000 0.644 1
Hg2 Hg 0.463 0.000 0.368 1
Se1 Se 0.168 0.500 0.003 1
```

Summary:
Raw formation energy = -0.272 eV/atom
Energy = -2.2255 eV/atom
N(E_F) = 0.00 states/eV per cell
Polymorph energy (0 for the lowest one) = 0.0000 eV per atom